1.
A plane-wave DFT calculation with PBE-GGA was carried out for a relaxed structure of CaMg2HgH.

For the density, the calculation gives 3.8 g/cm3. The total energy comes out at -1.5667 eV/atom. The calculation puts the offset from the most stable computed form at 429.5 meV per atom. Its total magnetization is 0.00 μB per cell.

The structure belongs to space group P4/mmm (No. 123); the cell edges are 5.823, 5.823 and 3.700 Å and the angles 90.00°, 90.00° and 90.00°. The distinct sites, in fractional coordinates, are Ca at (0.000, 0.000, 0.000), Mg at (0.000, 0.500, 0.500), Hg at (0.500, 0.500, 0.500) and H at (0.500, 0.500, 0.000).

=====

2.
A plane-wave DFT calculation with PBE-GGA was carried out for a relaxed structure of CaAg6Hg2.

For the density, the calculation gives 9.1 g/cm3. The total energy comes out at -2.1581 eV/atom. The calculation puts the offset from the most stable computed form at 0.0 meV per atom. Its total magnetization is 0.00 μB per cell.

The structure belongs to space group C2/m (No. 12); the cell edges are 13.940, 5.642 and 5.154 Å and the angles 90.00°, 102.19° and 90.00°. The distinct sites, in fractional coordinates, are Ca at (0.000, 0.000, 0.000), Ag at (0.000, 0.255, 0.500), Ag at (0.199, 0.251, 0.726) and Hg at (0.116, 0.500, 0.157).

=====

3.
A plane-wave DFT calculation with PBE-GGA was carried out for a relaxed structure of Zn2InCl.

As for the uncorrected formation energy: -0.1255 eV per atom. For the density, the calculation gives 5.4 g/cm3. The total energy comes out at -1.9088 eV/atom. The calculation puts the offset from the most stable computed form at 74.5 meV per atom. Its total magnetization is 0.00 μB per cell.

The structure belongs to space group R-3m (No. 166, hexagonal axes); the cell edges are 3.6217, 3.6217 and 22.6939 Å and the angles 90.00°, 90.00° and 120.00°. The distinct sites, in fractional coordinates, are Zn at (0.0000, 0.0000, 0.2485), In at (0.0000, 0.0000, 0.0000) and Cl at (0.0000, 0.0000, 0.5000).

=====

4.
A plane-wave DFT calculation with PBE-GGA was carried out for a relaxed structure of Rb3HoCu2Br9.

As for the uncorrected formation energy: -1.2756 eV per atom. For the density, the calculation gives 4.4 g/cm3. The total energy comes out at -3.3242 eV/atom. Its total magnetization is 0.98 μB per cell.

The structure belongs to space group P-3m1 (No. 164); the cell edges are 7.6229, 7.6229 and 9.4310 Å and the angles 90.00°, 90.00° and 120.00°. The distinct sites, in fractional coordinates, are Rb at (0.0000, 0.0000, 0.0000), Rb at (0.3333, 0.6667, 0.6793), Ho at (0.0000, 0.0000, 0.5000), Cu at (0.3333, 0.6667, 0.1376), Br at (0.0000, 0.5000, 0.0000) and Br at (0.1711, 0.3422, 0.3290).

=====

5.
A plane-wave DFT calculation with PBE-GGA was carried out for a relaxed structure of Zn2TeAu.

As for the uncorrected formation energy: -0.0896 eV per atom. For the density, the calculation gives 8.9 g/cm3. The total energy comes out at -2.3313 eV/atom. Its total magnetization is 0.00 μB per cell.

The structure belongs to space group R-3m (No. 166, hexagonal axes); the cell edges are 4.0256, 4.0256 and 18.2548 Å and the angles 90.00°, 90.00° and 120.00°. The distinct sites, in fractional coordinates, are Zn at (0.0000, 0.0000, 0.2416), Te at (0.0000, 0.0000, 0.0000) and Au at (0.0000, 0.0000, 0.5000).

=====

6.
A plane-wave DFT calculation with PBE-GGA was carried out for a relaxed structure of HoTm2Pt.

For the density, the calculation gives 10.0 g/cm3. The total energy comes out at -5.4271 eV/atom. The calculation puts the offset from the most stable computed form at 206.9 meV per atom. Its total magnetization is 0.00 μB per cell.

The structure belongs to space group R3m (No. 160, hexagonal axes); the cell edges are 3.8571, 3.8571 and 26.8762 Å and the angles 90.00°, 90.00° and 120.00°. The distinct sites, in fractional coordinates, are Ho at (0.0000, 0.0000, 0.0000), Tm at (0.0000, 0.0000, 0.5592), Tm at (0.0000, 0.0000, 0.7701) and Pt at (0.0000, 0.0000, 0.1642).

=====

7.
A plane-wave DFT calculation with PBE-GGA was carried out for a relaxed structure of Ac3Mg2Ge3.

For the density, the calculation gives 6.8 g/cm3. The total energy comes out at -4.1342 eV/atom. Its total magnetization is 1.72 μB per cell.

The structure belongs to space group Immm (No. 71); the cell edges are 4.314, 4.622 and 23.339 Å and the angles 90.00°, 90.00° and 90.00°. The distinct sites, in fractional coordinates, are Ac at (0.000, 0.000, 0.000), Ac at (0.000, 0.500, 0.128), Mg at (0.000, 0.000, 0.250), Ge at (0.000, 0.000, 0.500) and Ge at (0.000, 0.500, 0.326).

=====

8.
A plane-wave DFT calculation with PBE-GGA was carried out for a relaxed structure of KSe3O.

As for the uncorrected formation energy: 1.3583 eV per atom. For the density, the calculation gives 1.9 g/cm3. The total energy comes out at -1.9436 eV/atom. The calculation puts the offset from the most stable computed form at 1338.0 meV per atom. Its total magnetization is 7.00 μB per cell.

The structure belongs to space group Pm-3m (No. 221); the cell edges are 6.345, 6.345 and 6.345 Å and the angles 90.00°, 90.00° and 90.00°. The distinct sites, in fractional coordinates, are K at (0.000, 0.000, 0.000), Se at (0.000, 0.000, 0.500) and O at (0.500, 0.500, 0.500).

=====

Which value of total magnetization does entry 1 give?
0.00 μB per cell